# CoRu2PbO8, optimized geometry, DFT GGA+U
data_CoRu2PbO8
_cell_length_a 5.1924
_cell_length_b 5.1924
_cell_length_c 7.0478
_cell_angle_alpha 90.00
_cell_angle_beta 90.00
_cell_angle_gamma 120.00
_space_group_name_H-M_alt 'P -3'
_space_group_IT_number 147
_space_group_name_Hall '-P 3'
loop_
_atom_site_label
_atom_site_fract_x
_atom_site_fract_y
_atom_site_fract_z
Co1 0.0000 0.0000 0.0000
Ru1 0.3333 0.6667 0.2090
Pb1 0.0000 0.0000 0.5000
O1 0.0173 0.2968 0.1688
O2 0.3333 0.6667 0.4644
# - total moment (μB per atom) = 0.167
# - crystal system = trigonal
# - uncorrected energy (eV/atom) = -6.32